A plane-wave DFT calculation with PBE was carried out for MgNbTcRh after structural relaxation.

Computed properties:
* crystal system: cubic
* DFT formation energy: -252 meV/atom
* space group: F-43m, No. 216

a b c (Å): 4.467 4.467 4.467
angles (deg): 60.00 60.00 60.00
Element x y z (fractional)
Tc 0.250 0.250 0.250
Nb 0.000 0.000 0.000
Mg 0.500 0.500 0.500
Rh 0.750 0.750 0.750


A plane-wave DFT calculation with PBE was carried out for CoMo2Ir after structural relaxation.

Computed properties:
* crystal system: tetragonal
* DFT formation energy: -106 meV/atom
* space group: P4/mmm, No. 123
* relative energy among the computed polymorphs: 0.027 eV/atom

a b c (Å): 2.720 2.720 7.613
angles (deg): 90.00 90.00 90.00
Element x y z (fractional)
Ir 0.500 0.500 0.750
Mo 0.000 0.000 0.013
Mo 0.000 0.000 0.487
Co 0.500 0.500 0.250


A plane-wave DFT calculation with PBE was carried out for ScTi2Tc after structural relaxation.

Computed properties:
* crystal system: tetragonal
* DFT formation energy: -191 meV/atom
* space group: P4/mmm, No. 123
* relative energy among the computed polymorphs: 0.000 eV/atom

a b c (Å): 3.170 3.170 7.113
angles (deg): 90.00 90.00 90.00
Site moments in Bohr magnetons follow the coordinates.
Element x y z (fractional)
Sc 0.500 0.500 0.500  0.18
Tc 0.500 0.500 0.000  -0.03
Ti 0.000 0.000 0.202  0.19
Ti 0.000 0.000 0.798  0.19


A plane-wave DFT calculation with PBE was carried out for KNaUI6 after structural relaxation.

Computed properties:
* formation energy from raw total energies: -9.64 eV per formula unit
* crystal system: trigonal
* space group: P-31c, No. 163

a b c (Å): 8.086 8.086 15.447
angles (deg): 90.00 90.00 120.00
Site moments in Bohr magnetons follow the coordinates.
Element x y z (fractional)
Na 0.333 0.667 0.250  0.00
I 0.373 0.022 0.135  -0.03
U 0.667 0.333 0.250  2.16
I 0.627 0.978 0.865  -0.03
I 0.373 0.351 0.365  -0.03
U 0.333 0.667 0.750  2.16
I 0.351 0.373 0.865  -0.03
K 0.000 0.000 0.500  0.00
I 0.022 0.373 0.635  -0.03
I 0.978 0.627 0.365  -0.03
Na 0.667 0.333 0.750  0.00
I 0.649 0.627 0.135  -0.03
I 0.627 0.649 0.635  -0.03
I 0.351 0.978 0.635  -0.03
I 0.649 0.022 0.365  -0.03
I 0.022 0.649 0.865  -0.03
K 0.000 0.000 0.000  0.00
I 0.978 0.351 0.135  -0.03


A plane-wave DFT calculation with PBE was carried out for TiAlGaCu after structural relaxation.

Computed properties:
* crystal system: orthorhombic
* DFT formation energy: -384 meV/atom
* space group: Pmmm, No. 47

a b c (Å): 3.803 3.884 3.975
angles (deg): 90.00 90.00 90.00
Element x y z (fractional)
Ti 0.000 0.000 0.000
Ga 0.500 0.500 0.000
Al 0.500 0.000 0.500
Cu 0.000 0.500 0.500


A plane-wave DFT calculation with PBE was carried out for SrLa14Dy after structural relaxation.

Computed properties:
* crystal system: tetragonal
* DFT formation energy: 36 meV/atom
* space group: P4/mmm, No. 123

a b c (Å): 7.495 7.495 10.530
angles (deg): 90.00 90.00 90.00
Element x y z (fractional)
La 0.615 0.135 0.755
La 0.135 0.615 0.755
La 0.135 0.135 0.755
La 0.615 0.615 0.755
La 0.875 0.375 0.000
La 0.135 0.615 0.245
Sr 0.875 0.875 0.500
La 0.375 0.375 0.000
Dy 0.375 0.375 0.500
La 0.135 0.135 0.245
La 0.375 0.875 0.500
La 0.875 0.375 0.500
La 0.875 0.875 0.000
La 0.615 0.615 0.245
La 0.615 0.135 0.245
La 0.375 0.875 0.000


A plane-wave DFT calculation with PBE was carried out for Y3GaSi2Pt9 after structural relaxation.

Computed properties:
* formation energy from raw total energies: -11.25 eV per formula unit
* crystal system: trigonal
* space group: P-3m1, No. 164

a b c (Å): 6.319 6.319 9.038
angles (deg): 90.00 90.00 120.00
Element x y z (fractional)
Pt 0.857 0.143 0.721
Pt 0.286 0.143 0.721
Y 0.333 0.667 0.723
Ga 0.000 0.000 0.500
Y 0.000 0.000 0.000
Pt 0.857 0.714 0.721
Si 0.667 0.333 0.819
Pt 0.500 0.500 0.000
Pt 0.143 0.286 0.279
Si 0.333 0.667 0.181
Pt 0.000 0.500 0.000
Pt 0.500 0.000 0.000
Pt 0.143 0.857 0.279
Y 0.667 0.333 0.277
Pt 0.714 0.857 0.279


A plane-wave DFT calculation with PBE was carried out for Rb4LiPa3Se8 after structural relaxation.

Computed properties:
* formation energy from raw total energies: -21.25 eV per formula unit
* crystal system: trigonal
* space group: R-3m, No. 166

a b c (Å): 8.506 9.407 8.508
angles (deg): 116.88 119.99 90.00
Site moments in Bohr magnetons follow the coordinates.
Element x y z (fractional)
Se 0.724 0.694 0.959  -0.03
Se 0.235 0.694 0.470  -0.03
Rb 0.000 0.000 0.000  0.00
Pa 0.500 0.500 0.000  1.19
Se 0.276 0.306 0.041  -0.03
Se 0.765 0.306 0.530  -0.03
Se 0.235 0.694 0.959  -0.03
Li 0.000 0.500 0.000  0.00
Se 0.267 0.301 0.534  -0.03
Rb 0.500 0.000 0.000  0.00
Rb 0.500 0.000 0.500  0.00
Rb 0.000 0.000 0.500  0.00
Pa 0.000 0.500 0.500  1.19
Se 0.733 0.699 0.466  -0.03
Se 0.765 0.306 0.041  -0.03
Pa 0.500 0.500 0.500  1.19


A plane-wave DFT calculation with PBE was carried out for TcNiPtW after structural relaxation.

Computed properties:
* crystal system: cubic
* DFT formation energy: 34 meV/atom
* space group: F-43m, No. 216

a b c (Å): 4.346 4.346 4.346
angles (deg): 60.00 60.00 60.00
Site moments in Bohr magnetons follow the coordinates.
Element x y z (fractional)
Pt 0.250 0.250 0.250  0.01
Tc 0.750 0.750 0.750  0.23
W 0.000 0.000 0.000  -0.06
Ni 0.500 0.500 0.500  0.33


A plane-wave DFT calculation with PBE was carried out for Ca2ZnCuAu6 after structural relaxation.

Computed properties:
* crystal system: cubic
* DFT formation energy: -224 meV/atom
* space group: Fm-3m, No. 225

a b c (Å): 6.917 6.917 6.917
angles (deg): 60.00 60.00 90.00
Element x y z (fractional)
Ca 0.750 0.250 0.500
Au 0.249 0.249 0.503
Au 0.249 0.249 0.000
Au 0.751 0.249 0.000
Au 0.249 0.751 0.000
Au 0.751 0.751 0.000
Cu 0.000 0.000 0.000
Au 0.751 0.751 0.497
Ca 0.250 0.750 0.500
Zn 0.500 0.500 0.000


A plane-wave DFT calculation with PBE was carried out for TbHo2TmP4 after structural relaxation.

Computed properties:
* crystal system: monoclinic
* DFT formation energy: -1611 meV/atom
* space group: P2/m, No. 10

a b c (Å): 3.989 6.906 6.906
angles (deg): 109.46 90.00 90.00
Element x y z (fractional)
P 0.000 0.752 0.251
P 0.500 0.247 0.249
Ho 0.500 0.000 0.500
Tm 0.000 0.000 0.000
Ho 0.000 0.500 0.500
P 0.500 0.753 0.751
Tb 0.500 0.500 0.000
P 0.000 0.248 0.749


A plane-wave DFT calculation with PBE was carried out for CaMgRuF2 after structural relaxation.

Computed properties:
* formation energy from raw total energies: -6.28 eV per formula unit
* crystal system: tetragonal
* space group: P4/mmm, No. 123

a b c (Å): 4.006 5.768 4.006
angles (deg): 90.00 90.00 90.00
Site moments in Bohr magnetons follow the coordinates.
Element x y z (fractional)
F 0.500 0.000 0.000  0.02
Mg 0.000 0.000 0.000  0.00
Ru 0.000 0.500 0.000  1.64
Ca 0.500 0.500 0.500  0.01
F 0.000 0.000 0.500  0.02


A plane-wave DFT calculation with PBE was carried out for NbHI6 after structural relaxation.

Computed properties:
* calculated total energy: -24.95 eV for the cell shown
* crystal system: triclinic
* space group: P-1, No. 2

a b c (Å): 7.885 6.938 10.059
angles (deg): 54.07 50.13 75.56
Element x y z (fractional)
H 0.500 0.500 0.500
I 0.809 0.517 0.388
I 0.375 0.837 0.797
I 0.805 0.885 0.902
I 0.625 0.163 0.203
I 0.191 0.483 0.612
I 0.195 0.115 0.098
Nb 0.000 0.000 0.000


A plane-wave DFT calculation with PBE was carried out for BaVGeOs2 after structural relaxation.

Computed properties:
* crystal system: tetragonal
* DFT formation energy: 831 meV/atom
* space group: P4/mmm, No. 123

a b c (Å): 4.710 4.885 4.710
angles (deg): 90.00 90.00 90.00
Element x y z (fractional)
Ba 0.500 0.500 0.500
Os 0.500 0.000 0.000
Ge 0.000 0.500 0.000
V 0.000 0.000 0.000
Os 0.000 0.000 0.500


A plane-wave DFT calculation with PBE was carried out for LiEu2CBr3N2 after structural relaxation.

Computed properties:
* formation energy from raw total energies: -12.61 eV per formula unit
* crystal system: cubic
* space group: Fd-3m, No. 227

a b c (Å): 10.332 10.332 10.332
angles (deg): 60.00 60.00 60.00
Site moments in Bohr magnetons follow the coordinates.
Element x y z (fractional)
Li 0.125 0.125 0.625  0.00
Br 0.196 0.804 0.196  -0.01
Br 0.054 0.446 0.054  -0.01
Eu 0.404 0.404 0.789  6.87
Eu 0.461 0.846 0.846  6.87
Br 0.446 0.054 0.446  -0.01
Br 0.804 0.196 0.196  -0.01
N 0.576 0.271 0.576  -0.03
Br 0.804 0.804 0.196  -0.01
Eu 0.789 0.404 0.404  6.87
N 0.674 0.674 0.674  -0.03
Br 0.804 0.196 0.804  -0.01
Br 0.446 0.446 0.054  -0.01
Br 0.196 0.196 0.804  -0.01
Br 0.446 0.054 0.054  -0.01
Eu 0.846 0.846 0.846  6.87
Br 0.196 0.804 0.804  -0.01
N 0.979 0.674 0.674  -0.03
Br 0.054 0.446 0.446  -0.01
N 0.576 0.576 0.271  -0.03
N 0.271 0.576 0.576  -0.03
N 0.674 0.979 0.674  -0.03
N 0.576 0.576 0.576  -0.03
Li 0.125 0.625 0.125  0.00
Li 0.125 0.125 0.125  0.00
N 0.674 0.674 0.979  -0.03
Br 0.054 0.054 0.446  -0.01
Eu 0.846 0.846 0.461  6.87
Eu 0.846 0.461 0.846  6.87
Eu 0.404 0.789 0.404  6.87
C 0.625 0.625 0.625  0.01
Eu 0.404 0.404 0.404  6.87
C 0.125 0.625 0.625  0.01
C 0.625 0.125 0.625  0.01
C 0.625 0.625 0.125  0.01
Li 0.625 0.125 0.125  0.00


A plane-wave DFT calculation with PBE was carried out for As2RuBr after structural relaxation.

Computed properties:
* formation energy from raw total energies: 2.75 eV per formula unit
* crystal system: orthorhombic
* space group: Cmmm, No. 65
* relative energy among the computed polymorphs: 0.763 eV/atom

a b c (Å): 4.966 4.966 3.262
angles (deg): 90.00 90.00 114.72
Element x y z (fractional)
As 0.000 0.000 0.000
As 0.500 0.500 0.000
Ru 0.000 0.500 0.500
Br 0.500 0.000 0.500


A plane-wave DFT calculation with PBE was carried out for Ba5Cd3 after structural relaxation.

Computed properties:
* crystal system: tetragonal
* DFT formation energy: -253 meV/atom
* space group: P4/mmm, No. 123
* relative energy among the computed polymorphs: 0.000 eV/atom

a b c (Å): 4.286 4.286 19.590
angles (deg): 90.00 90.00 90.00
Element x y z (fractional)
Cd 0.500 0.500 0.888
Cd 0.500 0.500 0.112
Ba 0.000 0.000 0.213
Ba 0.000 0.000 0.787
Ba 0.500 0.500 0.396
Cd 0.000 0.000 0.500
Ba 0.500 0.500 0.604
Ba 0.000 0.000 0.000


A plane-wave DFT calculation with PBE was carried out for Tl2AgHg after structural relaxation.

Computed properties:
* crystal system: monoclinic
* DFT formation energy: 70 meV/atom
* space group: Cm, No. 8
* relative energy among the computed polymorphs: 0.002 eV/atom

a b c (Å): 6.365 6.365 5.364
angles (deg): 70.91 70.91 30.86
Element x y z (fractional)
Hg 0.221 0.221 0.244
Tl 0.777 0.777 0.698
Ag 0.511 0.511 0.525
Tl 0.991 0.991 0.033


A plane-wave DFT calculation with PBE was carried out for Ba4Na3Ga after structural relaxation.

Computed properties:
* crystal system: tetragonal
* DFT formation energy: -95 meV/atom
* space group: P4/mmm, No. 123

a b c (Å): 4.231 4.231 20.595
angles (deg): 90.00 90.00 90.00
Element x y z (fractional)
Na 0.500 0.500 0.769
Na 0.500 0.500 0.500
Ba 0.000 0.000 0.908
Ba 0.000 0.000 0.635
Ba 0.000 0.000 0.092
Ba 0.000 0.000 0.365
Na 0.500 0.500 0.231
Ga 0.500 0.500 0.000


A plane-wave DFT calculation with PBE was carried out for CsNa2InSn after structural relaxation.

Computed properties:
* crystal system: tetragonal
* DFT formation energy: -55 meV/atom
* space group: P4/mmm, No. 123
* relative energy among the computed polymorphs: 0.000 eV/atom

a b c (Å): 6.056 5.940 6.056
angles (deg): 90.00 90.00 90.00
Element x y z (fractional)
In 0.000 0.500 0.000
Na 0.500 0.000 0.000
Sn 0.000 0.000 0.000
Cs 0.500 0.500 0.500
Na 0.000 0.000 0.500